[1]
# PmPaPSe PBE-GGA relaxed
# Space-group type: R3m
# Relative energy among the computed polymorphs in meV per atom: 0
# Raw formation energy in eV/atom: -1.442
data_PmPaPSe
_chemical_formula_sum 'Pm1 Pa1 P1 Se1'
_cell_length_a 7.567
_cell_length_b 7.567
_cell_length_c 7.567
_cell_angle_alpha 30.42
_cell_angle_beta 30.42
_cell_angle_gamma 30.42
_space_group_name_H-M_alt 'P 1'
_space_group_IT_number 1
loop_
_space_group_symop_operation_xyz
'x,y,z'
loop_
_atom_site_label
_atom_site_type_symbol
_atom_site_fract_x
_atom_site_fract_y
_atom_site_fract_z
Pm1 Pm 0.000 0.000 0.000
Pa1 Pa 0.815 0.815 0.815
P1 P 0.410 0.410 0.410
Se1 Se 0.237 0.237 0.237

=====

[2]
# CdOsCl3 PBE-GGA relaxed
# Space-group type: Pm-3m
# Relative energy among the computed polymorphs in meV per atom: 0
# Raw formation energy in eV/atom: 0.187
data_CdOsCl3
_chemical_formula_sum 'Cd1 Os1 Cl3'
_cell_length_a 4.842
_cell_length_b 4.842
_cell_length_c 4.842
_cell_angle_alpha 90.00
_cell_angle_beta 90.00
_cell_angle_gamma 90.00
_space_group_name_H-M_alt 'P 1'
_space_group_IT_number 1
loop_
_space_group_symop_operation_xyz
'x,y,z'
loop_
_atom_site_label
_atom_site_type_symbol
_atom_site_fract_x
_atom_site_fract_y
_atom_site_fract_z
Cd1 Cd 0.000 0.000 0.000
Os1 Os 0.500 0.500 0.500
Cl1 Cl 0.000 0.500 0.500
Cl2 Cl 0.500 0.000 0.500
Cl3 Cl 0.500 0.500 0.000

=====

Summary of uncorrected energy in eV per formula unit
-28.91; -16.75
(order as listed above)